This record from the Alexandria database describes an optimized crystal structure of Dy4AlOs. The functional is PBE.

Cell: 6.092 8.861 7.771 Å, 114.72 99.84 112.81°
Element x y z (fractional)
Dy 0.100 0.211 0.851
Dy 0.768 0.720 0.658
Dy 0.251 0.641 0.851
Dy 0.390 0.938 0.658
Dy 0.610 0.062 0.342
Dy 0.749 0.359 0.149
Dy 0.232 0.280 0.342
Dy 0.900 0.789 0.149
Al 0.375 0.625 0.249
Al 0.625 0.375 0.751
Os 0.249 0.999 0.999
Os 0.751 0.001 0.001

Calculated values
space-group type	C2/c
calculated total energy	-5.8376	eV/atom
energy of formation from the pure elements	-26	kJ per mole of atoms
E above lowest polymorph	29.8	meV/atom